## i
A plane-wave DFT calculation with GGA-PBE was carried out for a relaxed structure of TmZrN.

Values from the calculation:
For the total magnetization, the calculation gives 0.0 μB per formula unit. The mass density is 8.43 Mg/m³.

Lattice parameters (Å, degrees): 3.3530 3.3530 5.5463 90.00 90.00 120.00
Space group P3m1 (No. 156)
One atom of each set of equivalent atoms:
Tm 0.0000 0.0000 0.0000
Zr 0.3333 0.6667 0.5364
N 0.6667 0.3333 0.7578

***

## ii
A plane-wave DFT calculation with GGA-PBE was carried out for a relaxed structure of TmZrN.

Values from the calculation:
For the total magnetization, the calculation gives 0.0 μB per formula unit. The mass density is 8.63 Mg/m³.

Lattice parameters (Å, degrees): 3.4432 3.4432 4.4479 90.00 90.00 90.00
Space group P4/mmm (No. 123)
One atom of each set of equivalent atoms:
Tm 0.0000 0.0000 0.0000
Zr 0.5000 0.5000 0.5000
N 0.5000 0.5000 0.0000

***

Most stable: i. Least stable: ii.

***

## i
A plane-wave DFT calculation with GGA-PBE was carried out for a relaxed structure of TmZr3N4.

Values from the calculation:
For the total magnetization, the calculation gives 0.0 μB per formula unit. The mass density is 8.22 Mg/m³.

Lattice parameters (Å, degrees): 4.6535 4.6535 4.6535 90.00 90.00 90.00
Space group Pm-3m (No. 221)
One atom of each set of equivalent atoms:
Tm 0.0000 0.0000 0.0000
Zr 0.0000 0.5000 0.5000
N 0.0000 0.0000 0.5000
N 0.5000 0.5000 0.5000

***

## ii
A plane-wave DFT calculation with GGA-PBE was carried out for a relaxed structure of TmZr3N4.

Values from the calculation:
For the total magnetization, the calculation gives 0.0 μB per formula unit. The mass density is 8.21 Mg/m³.

Lattice parameters (Å, degrees): 6.6052 9.3015 3.2826 90.00 90.00 90.00
Space group Cmmm (No. 65)
One atom of each set of equivalent atoms:
Tm 0.0000 0.0000 0.0000
Zr 0.0000 0.5000 0.0000
Zr 0.2500 0.2500 0.5000
N 0.0000 0.2520 0.0000
N 0.2444 0.5000 0.5000

***

Most stable: ii. Least stable: i.

***

## i
A plane-wave DFT calculation with GGA-PBE was carried out for a relaxed structure of U3N.

Values from the calculation:
For the total magnetization, the calculation gives 1.6 μB per formula unit. The mass density is 17.99 Mg/m³.

Lattice parameters (Å, degrees): 3.5011 3.5011 5.4832 90.00 90.00 90.00
Space group P-4m2 (No. 115)
One atom of each set of equivalent atoms:
U 0.0000 0.0000 0.0000
U 0.0000 0.5000 0.4047
N 0.5000 0.5000 0.0000

***

## ii
A plane-wave DFT calculation with GGA-PBE was carried out for a relaxed structure of U3N.

Values from the calculation:
For the total magnetization, the calculation gives 1.6 μB per formula unit. The mass density is 18.39 Mg/m³.

Lattice parameters (Å, degrees): 4.0357 4.0357 4.0357 90.00 90.00 90.00
Space group Pm-3m (No. 221)
One atom of each set of equivalent atoms:
U 0.0000 0.0000 0.5000
N 0.5000 0.5000 0.5000

***

Most stable: i. Least stable: ii.

***

## i
A plane-wave DFT calculation with GGA-PBE was carried out for a relaxed structure of UWN2.

Values from the calculation:
For the total magnetization, the calculation gives 1.7 μB per formula unit. The mass density is 13.58 Mg/m³.

Lattice parameters (Å, degrees): 3.1263 3.1263 19.4914 90.00 90.00 120.00
Space group R-3m (No. 166, hexagonal axes)
One atom of each set of equivalent atoms:
U 0.0000 0.0000 0.0000
W 0.0000 0.0000 0.5000
N 0.0000 0.0000 0.1101

***

## ii
A plane-wave DFT calculation with GGA-PBE was carried out for a relaxed structure of UWN2.

Values from the calculation:
For the total magnetization, the calculation gives 1.7 μB per formula unit. The mass density is 15.25 Mg/m³.

Lattice parameters (Å, degrees): 5.6200 3.1734 10.9889 90.00 90.00 90.00
Space group Pnma (No. 62)
One atom of each set of equivalent atoms:
U 0.0736 0.2500 0.1450
W 0.0673 0.7500 0.3987
N 0.1708 0.2500 0.7535
N 0.2434 0.7500 0.9957

***

Most stable: ii. Least stable: i.

***

## i
A plane-wave DFT calculation with GGA-PBE was carried out for a relaxed structure of V3WN.

Values from the calculation:
For the total magnetization, the calculation gives 0.0 μB per formula unit. The mass density is 9.35 Mg/m³.

Lattice parameters (Å, degrees): 3.9638 3.9638 3.9638 90.00 90.00 90.00
Space group Pm-3m (No. 221)
One atom of each set of equivalent atoms:
V 0.0000 0.0000 0.5000
W 0.5000 0.5000 0.5000
N 0.0000 0.0000 0.0000

***

## ii
A plane-wave DFT calculation with GGA-PBE was carried out for a relaxed structure of V3WN.

Values from the calculation:
For the total magnetization, the calculation gives 0.0 μB per formula unit. The mass density is 6.11 Mg/m³.

Lattice parameters (Å, degrees): 4.5686 4.5686 4.5686 90.00 90.00 90.00
Space group Pm-3m (No. 221)
One atom of each set of equivalent atoms:
V 0.0000 0.0000 0.5000
W 0.0000 0.0000 0.0000
N 0.5000 0.5000 0.5000

***

Most stable: i. Least stable: ii.

***

## i
A plane-wave DFT calculation with GGA-PBE was carried out for a relaxed structure of YV3N.

Values from the calculation:
For the total magnetization, the calculation gives 5.2 μB per formula unit. The mass density is 3.90 Mg/m³.

Lattice parameters (Å, degrees): 4.7748 4.7748 4.7748 90.00 90.00 90.00
Space group Pm-3m (No. 221)
One atom of each set of equivalent atoms:
Y 0.0000 0.0000 0.0000
V 0.0000 0.0000 0.5000
N 0.5000 0.5000 0.5000

***

## ii
A plane-wave DFT calculation with GGA-PBE was carried out for a relaxed structure of YV3N.

Values from the calculation:
For the total magnetization, the calculation gives 0.0 μB per formula unit. The mass density is 5.96 Mg/m³.

Lattice parameters (Å, degrees): 4.1454 4.1454 4.1454 90.00 90.00 90.00
Space group Pm-3m (No. 221)
One atom of each set of equivalent atoms:
Y 0.0000 0.0000 0.0000
V 0.0000 0.5000 0.5000
N 0.5000 0.5000 0.5000

***

Most stable: ii. Least stable: i.